[1]
LaFeC2 (PBE-GGA, optimized geometry); crystal system = cubic
1.0
-0.9603 -1.3539 3.7912
-3.9226 0.1332 1.3130
-2.1476 -3.5074 0.4624
C Fe La
2 1 1
Cartesian
-1.7576 -1.1820 1.3917
-5.2729 -3.5461 4.1750
0.0000 0.0000 0.0000
-3.5152 -2.3640 2.7833

[2]
LaFe2C2 (PBE-GGA, optimized geometry); energy relative to the lowest polymorph listed for this composition = 0.014 eV per atom; crystal system = orthorhombic
1.0
-4.7495 -1.3044 -1.7478
2.5769 2.8675 -3.5286
2.8668 -4.7194 0.7382
La Fe C
2 4 4
Cartesian
-0.3952 -2.8887 -3.1810
1.0894 -0.2676 -1.3572
2.8007 0.2313 -3.5726
2.4022 -3.1716 -2.7582
-2.1066 -3.3876 -0.9656
-1.7080 0.0153 -1.7800
1.9856 -2.9332 -0.8575
-1.2804 -1.6170 -0.7811
1.9746 -1.5393 -3.7570
-1.2914 -0.2231 -3.6807

[3]
LaFe5C4 (PBE-GGA, optimized geometry); crystal system = tetragonal
1.0
-4.2893 0.4899 3.8638
-4.3206 -0.9015 -4.6821
0.2053 -6.3478 1.0328
La Fe C
2 10 8
Cartesian
0.0000 0.0000 0.0000
-2.0577 -3.6246 -1.8247
-4.1589 -1.1603 1.3222
-4.0317 -5.0927 1.9620
-3.2195 -2.7944 3.5089
-5.8029 -1.5033 -0.4594
-5.6758 -5.4357 0.1804
-4.8646 -2.5329 -2.1837
-4.7865 -4.9483 -1.7907
-3.1275 -0.3403 -1.4698
-2.1099 -4.3898 1.1099
-2.1880 -1.9744 0.7169
-2.7132 -0.0287 0.3627
-2.5751 -1.2411 2.6152
-2.4695 -4.5071 3.1466
-4.9362 -0.4926 -2.0463
-5.7314 -3.5437 -0.5967
-3.7718 -1.8937 -0.5761
-3.6722 -4.9754 -0.0747
-3.6338 -3.1060 1.6764

[4]
LaFe2C (PBE-GGA, optimized geometry); crystal system = tetragonal
1.0
-0.0702 -4.8256 -3.1173
1.3436 -3.0449 4.6833
-3.3253 -4.4118 1.6099
C Fe La
2 4 2
Cartesian
0.6367 -3.9353 0.7830
-0.6725 -5.6960 3.5380
-0.6898 -3.2989 -0.1848
-0.0178 -4.8098 2.1642
-1.6821 -7.0179 2.9598
-1.7140 -9.4380 1.4124
0.0000 0.0000 0.0000
-1.3794 -6.5863 -0.3622

[5]
LaFe2C2 (PBE-GGA, optimized geometry); energy relative to the lowest polymorph listed for this composition = 0.000 eV per atom; crystal system = tetragonal
1.0
-0.9171 3.3384 0.2557
-0.9454 -0.5125 3.3007
5.7201 -0.2166 -0.2209
La Fe C
1 2 2
Cartesian
0.0000 0.0000 0.0000
1.9358 2.2673 0.9065
1.9217 0.3419 2.4290
0.6698 1.8129 2.2989
3.1877 0.7963 1.0367

[6]
LaFe3C (PBE-GGA, optimized geometry); crystal system = cubic
1.0
4.5671 0.0000 0.0000
0.0000 4.5671 0.0000
0.0000 0.0000 4.5671
C Fe La
1 3 1
Cartesian
2.2836 2.2836 2.2836
0.0000 2.2836 0.0000
0.0000 0.0000 2.2836
2.2836 0.0000 0.0000
0.0000 0.0000 0.0000

[7]
LaFe4C2 (PBE-GGA, optimized geometry); crystal system = tetragonal
1.0
4.5370 0.0000 0.0000
0.0000 4.5370 0.0000
2.2685 2.2685 5.4373
C Fe La
2 4 1
Cartesian
4.5370 4.5370 4.7674
2.2685 2.2685 0.6699
4.5370 4.5370 2.9689
2.2685 2.2685 2.4684
0.0000 2.2685 0.0000
2.2685 0.0000 0.0000
0.0000 0.0000 0.0000

[8]
La2FeC4 (PBE-GGA, optimized geometry); crystal system = orthorhombic
1.0
-3.1428 -4.0723 -1.1362
3.1862 -6.1611 1.0566
-2.0902 -3.4037 5.7683
C Fe La
8 2 4
Cartesian
-0.8693 -3.6494 3.2719
-1.1775 -9.9877 2.4168
-0.6210 -6.6365 1.0788
-1.4259 -7.0006 4.6099
-1.5835 -3.4173 4.4156
-0.4633 -10.2198 1.2732
0.4583 -7.3417 0.6210
-2.5052 -6.2954 5.0678
-0.7857 -1.0181 -0.2841
-2.3571 -3.0542 -0.8522
0.4637 -8.0673 3.2067
-2.5105 -5.5698 2.4820
-2.8620 -9.1867 4.2051
0.8151 -4.4504 1.4836

[9]
LiLaFeC (PBE-GGA, optimized geometry); crystal system = tetragonal
1.0
3.4932 0.0000 0.0000
0.0000 3.4932 0.0000
0.0000 0.0000 11.1773
Li La Fe C
2 2 2 2
Cartesian
0.8733 2.6199 5.5886
2.6199 0.8733 5.5886
2.6199 2.6199 2.4277
0.8733 0.8733 8.7495
2.6199 0.8733 0.0000
0.8733 2.6199 0.0000
2.6199 2.6199 10.2510
0.8733 0.8733 0.9262

[10]
LaMgFeC2 (PBE-GGA, optimized geometry); crystal system = tetragonal
1.0
-0.5836 -3.4011 -2.1994
4.6269 -0.6010 -0.2982
-0.0658 -2.2139 3.4409
C Mg Fe La
2 1 1 1
Cartesian
-0.0329 -1.1070 1.7205
-0.2918 -1.7005 -1.0997
1.9888 -3.1080 0.4716
0.0000 0.0000 0.0000
2.3135 -0.3005 -0.1491

[11]
La2MgFeC (PBE-GGA, optimized geometry); crystal system = tetragonal
1.0
5.4165 0.0000 0.0000
0.0000 5.4165 0.0000
0.0000 0.0000 3.7384
C Mg Fe La
1 1 1 2
Cartesian
0.0000 0.0000 0.0000
2.7082 2.7082 1.8692
0.0000 0.0000 1.8692
0.0000 2.7082 0.0000
2.7082 0.0000 0.0000

[12]
LaFeMoC3 (PBE-GGA, optimized geometry); crystal system = monoclinic
1.0
-2.3433 0.0017 -2.2886
-4.9164 -0.1213 5.0338
1.5457 7.2081 -1.5772
La Fe Mo C
2 2 2 6
Cartesian
-4.4700 5.5400 1.0651
-1.2440 1.5486 0.1030
-0.1344 4.3701 -1.0311
-5.5796 2.7185 2.1991
-3.6220 0.8740 2.5373
-2.0920 6.2146 -1.3692
-3.9193 3.2431 2.8435
-5.8238 0.9110 2.4478
-3.7490 1.0403 0.3235
-1.7947 3.8455 -1.6754
-1.9650 6.0483 0.8445
0.1098 6.1776 -1.2798

| no. | formation energy (eV/atom) |
| --- | --- |
| 1 | 1.18 |
| 2 | -0.20 |
| 3 | 0.77 |
| 4 | 0.35 |
| 5 | -0.21 |
| 6 | 2.90 |
| 7 | 1.43 |
| 8 | -0.17 |
| 9 | -0.08 |
| 10 | 1.33 |
| 11 | -0.07 |
| 12 | 0.14 |